First-principles (PBE) data for TeRu5 after structural relaxation, as listed in the Alexandria database.

Structure (CIF):
```
data_TeRu5
_chemical_formula_sum 'Te4 Ru20'
_symmetry_space_group_name_H-M 'F -4 3 m'
_symmetry_Int_Tables_number 216
_symmetry_space_group_name_Hall 'F -4 2 3'
_cell_length_a 7.299
_cell_length_b 7.299
_cell_length_c 7.299
_cell_angle_alpha 90.00
_cell_angle_beta 90.00
_cell_angle_gamma 90.00
loop_
_atom_site_label
_atom_site_type_symbol
_atom_site_fract_x
_atom_site_fract_y
_atom_site_fract_z
Te1 Te 0.000 0.000 0.000
Ru1 Ru 0.124 0.124 0.376
Ru2 Ru 0.250 0.250 0.750
```

Calculated values
M_tot = 2.72 μB/f.u.
Crystal system = cubic
Offset from the most stable computed form = 583 meV/atom
ΔE_f (raw) = 4.8 eV per formula unit


First-principles (PBE) data for Te3Ru after structural relaxation, as listed in the Alexandria database.

Structure (CIF):
```
data_Te3Ru
_chemical_formula_sum 'Te12 Ru4'
_symmetry_space_group_name_H-M 'C m c m'
_symmetry_Int_Tables_number 63
_symmetry_space_group_name_Hall '-C 2c 2'
_cell_length_a 8.074
_cell_length_b 16.369
_cell_length_c 4.112
_cell_angle_alpha 90.00
_cell_angle_beta 90.00
_cell_angle_gamma 90.00
loop_
_atom_site_label
_atom_site_type_symbol
_atom_site_fract_x
_atom_site_fract_y
_atom_site_fract_z
Te1 Te 0.000 0.112 0.250
Te2 Te 0.232 0.361 0.250
Ru1 Ru 0.000 0.467 0.250
```

Calculated values
M_tot = 0.00 μB/f.u.
Crystal system = orthorhombic
ΔE_f (raw) = 1.0 eV per formula unit